Arrangement i

# Mn2SbPb GGA-PBEsol optimized geometry
data_Mn2SbPb
_chemical_formula_sum 'Mn2 Sb1 Pb1'
_cell_length_a 3.424
_cell_length_b 3.343
_cell_length_c 6.873
_cell_angle_alpha 90.00
_cell_angle_beta 100.95
_cell_angle_gamma 90.00
_symmetry_space_group_name_H-M 'P 1'
_symmetry_Int_Tables_number 1
loop_
_symmetry_equiv_pos_as_xyz
'x,y,z'
loop_
_atom_site_label
_atom_site_type_symbol
_atom_site_fract_x
_atom_site_fract_y
_atom_site_fract_z
Mn1 Mn 0.058 0.000 0.199
Mn2 Mn 0.942 0.000 0.801
Sb1 Sb 0.500 0.500 0.000
Pb1 Pb 0.500 0.500 0.500
# - Fermi-level density of states (states/eV/f.u.) = 2.74



Arrangement ii

# Mn2SbPb GGA-PBEsol optimized geometry
data_Mn2SbPb
_chemical_formula_sum 'Mn2 Sb1 Pb1'
_cell_length_a 3.420
_cell_length_b 3.420
_cell_length_c 6.617
_cell_angle_alpha 90.00
_cell_angle_beta 90.00
_cell_angle_gamma 90.00
_symmetry_space_group_name_H-M 'P 1'
_symmetry_Int_Tables_number 1
loop_
_symmetry_equiv_pos_as_xyz
'x,y,z'
loop_
_atom_site_label
_atom_site_type_symbol
_atom_site_fract_x
_atom_site_fract_y
_atom_site_fract_z
Mn1 Mn 0.000 0.000 0.207
Mn2 Mn 0.000 0.000 0.793
Sb1 Sb 0.500 0.500 0.000
Pb1 Pb 0.500 0.500 0.500
# - Fermi-level density of states (states/eV/f.u.) = 3.09



Name the most stable of them. arrangement i.



Arrangement i

# Mn2PbSe GGA-PBEsol optimized geometry
data_Mn2PbSe
_chemical_formula_sum 'Mn2 Pb1 Se1'
_cell_length_a 4.792
_cell_length_b 4.792
_cell_length_c 4.792
_cell_angle_alpha 60.00
_cell_angle_beta 60.00
_cell_angle_gamma 60.00
_symmetry_space_group_name_H-M 'P 1'
_symmetry_Int_Tables_number 1
loop_
_symmetry_equiv_pos_as_xyz
'x,y,z'
loop_
_atom_site_label
_atom_site_type_symbol
_atom_site_fract_x
_atom_site_fract_y
_atom_site_fract_z
Mn1 Mn 0.000 0.000 0.000
Mn2 Mn 0.250 0.250 0.250
Pb1 Pb 0.500 0.500 0.500
Se1 Se 0.750 0.750 0.750
# - Fermi-level density of states (states/eV/f.u.) = 4.54



Arrangement ii

# Mn2PbSe GGA-PBEsol optimized geometry
data_Mn2PbSe
_chemical_formula_sum 'Mn2 Pb1 Se1'
_cell_length_a 4.729
_cell_length_b 4.729
_cell_length_c 4.729
_cell_angle_alpha 122.36
_cell_angle_beta 122.36
_cell_angle_gamma 85.95
_symmetry_space_group_name_H-M 'P 1'
_symmetry_Int_Tables_number 1
loop_
_symmetry_equiv_pos_as_xyz
'x,y,z'
loop_
_atom_site_label
_atom_site_type_symbol
_atom_site_fract_x
_atom_site_fract_y
_atom_site_fract_z
Mn1 Mn 0.250 0.750 0.500
Mn2 Mn 0.750 0.250 0.500
Pb1 Pb 0.000 0.000 0.000
Se1 Se 0.500 0.500 0.000
# - Fermi-level density of states (states/eV/f.u.) = 3.65



Name the most stable of them. arrangement ii.